No. 1
Here is a geometry-optimized ScTc2Ir structure from the Alexandria database. Energies are from GGA-PBE.

## Properties
Crystal system: orthorhombic
SG: Imm2
ΔH_f (0 K): -126 meV per atom
Energy above the most stable polymorph in this dataset: 67 meV/atom

Cell lengths 3.0769, 4.5695, 8.9115 Å; angles 90.00, 90.00, 90.00 degrees
Element x y z (fractional)
Sc 0.0000 0.0000 0.0000
Sc 0.5000 0.5000 0.5000
Tc 0.0000 0.0000 0.4886
Tc 0.0000 0.5000 0.7558
Tc 0.5000 0.0000 0.2558
Tc 0.5000 0.5000 0.9886
Ir 0.0000 0.5000 0.2411
Ir 0.5000 0.0000 0.7411

No. 2
Here is a geometry-optimized SbOs2 structure from the Alexandria database. Energies are from GGA-PBE.

## Properties
Crystal system: hexagonal
SG: P-62m
Energy relative to the elements, uncorrected: 944 meV per atom

Cell lengths 6.6620, 6.6620, 4.0373 Å; angles 90.00, 90.00, 120.00 degrees
Element x y z (fractional)
Sb 0.0000 0.0000 0.0000
Sb 0.3333 0.6667 0.5000
Sb 0.6667 0.3333 0.5000
Os 0.0000 0.2552 0.5000
Os 0.0000 0.6037 0.0000
Os 0.2552 0.0000 0.5000
Os 0.3963 0.3963 0.0000
Os 0.6037 0.0000 0.0000
Os 0.7448 0.7448 0.5000

No. 3
Here is a geometry-optimized LiTaP structure from the Alexandria database. Energies are from GGA-PBE.

## Properties
Crystal system: orthorhombic
SG: Fmm2
ΔH_f (0 K): -114 meV per atom
Energy above the most stable polymorph in this dataset: 460 meV/atom

Cell lengths 3.7605, 4.8279, 10.0295 Å; angles 90.00, 90.00, 90.00 degrees
Element x y z (fractional)
Li 0.0000 0.0000 0.0000
Li 0.0000 0.5000 0.5000
Li 0.5000 0.0000 0.5000
Li 0.5000 0.5000 0.0000
Ta 0.0000 0.0000 0.7016
Ta 0.0000 0.5000 0.2016
Ta 0.5000 0.0000 0.2016
Ta 0.5000 0.5000 0.7016
P 0.0000 0.0000 0.3584
P 0.0000 0.5000 0.8584
P 0.5000 0.0000 0.8584
P 0.5000 0.5000 0.3584

no.,ρ (Mg/m³)
1,11.48
2,16.12
3,7.98